A plane-wave DFT calculation with GGA-PBE was carried out for an optimized crystal structure of Cr2CdHg.

a b c (Å): 3.1171 3.1171 7.1736
angles (deg): 90.00 90.00 90.00
Space group P4mm (No. 99)
Symmetry-distinct sites (fractional):
Cr  0.0000  0.0000  0.0000 [1 per cell]
Cr  0.5000  0.5000  0.1482 [1 per cell]
Cd  0.5000  0.5000  0.7297 [1 per cell]
Hg  0.0000  0.0000  0.4174 [1 per cell]

Results
Raw total energy: -4.830 eV per atom
Density: 9934 kg/m³
Polymorph energy (0 for the lowest one): 0 kJ/mol of formula units
ΔH_f (0 K): 286.1 meV/atom